{"formula": "Mg3Zn2In2Ag4", "functional": "PBE-GGA", "state": "optimized geometry", "cell": [[4.6645, 0.0000, 0.0000], [-2.3322, 4.0395, 0.0000], [0.0000, 0.0000, 11.3444]], "species": ["Mg", "Mg", "Mg", "Zn", "Zn", "In", "In", "Ag", "Ag", "Ag", "Ag"], "fractional_positions": [[0.0000, 0.0000, 0.7358], [0.0000, 0.0000, 0.0000], [0.0000, 0.0000, 0.2642], [0.6667, 0.3333, 0.9090], [0.3333, 0.6667, 0.0911], [0.6667, 0.3333, 0.4240], [0.3333, 0.6667, 0.5760], [0.6667, 0.3333, 0.1502], [0.3333, 0.6667, 0.8498], [0.6667, 0.3333, 0.6757], [0.3333, 0.6667, 0.3243]], "e_tot_ev_per_fu": -25.12}